[1]
# Er8C3S3O PBE relaxed
data_Er8C3S3O
_symmetry_space_group_name_H-M 'R -3 m'
_symmetry_Int_Tables_number 166
_symmetry_space_group_name_Hall '-R 3 2"'
_cell_length_a 7.2639
_cell_length_b 7.2639
_cell_length_c 18.5167
_cell_angle_alpha 90.00
_cell_angle_beta 90.00
_cell_angle_gamma 120.00
loop_
_atom_site_label
_atom_site_fract_x
_atom_site_fract_y
_atom_site_fract_z
Er1 0.0000 0.0000 0.2383
Er2 0.0089 0.5045 0.7616
C1 0.0000 0.5000 0.5000
S1 0.0000 0.5000 0.0000
O1 0.0000 0.0000 0.5000
# formation energy without anion corrections: -1.433 eV per atom
# DOS at the Fermi energy: 0.37 states/eV per atom
# total magnetic moment: 0.000 μB per cell

---

[2]
# Mg3ZnCu2 PBE relaxed
data_Mg3ZnCu2
_symmetry_space_group_name_H-M 'R -3 m'
_symmetry_Int_Tables_number 166
_symmetry_space_group_name_Hall '-R 3 2"'
_cell_length_a 5.6839
_cell_length_b 5.6839
_cell_length_c 11.7536
_cell_angle_alpha 90.00
_cell_angle_beta 90.00
_cell_angle_gamma 120.00
loop_
_atom_site_label
_atom_site_fract_x
_atom_site_fract_y
_atom_site_fract_z
Mg1 0.0000 0.5000 0.0000
Zn1 0.0000 0.0000 0.5000
Cu1 0.0000 0.0000 0.1088
# energy relative to the lowest polymorph listed for this composition: 2.01 eV/f.u.
# DOS at the Fermi energy: 0.33 states/eV per atom
# DFT formation energy: 0.240 eV per atom
# total magnetic moment: 0.000 μB per cell

---

[3]
# RbBaS2Cl PBE relaxed
data_RbBaS2Cl
_symmetry_space_group_name_H-M 'P 4/m m m'
_symmetry_Int_Tables_number 123
_symmetry_space_group_name_Hall '-P 4 2'
_cell_length_a 5.492
_cell_length_b 5.492
_cell_length_c 5.806
_cell_angle_alpha 90.00
_cell_angle_beta 90.00
_cell_angle_gamma 90.00
loop_
_atom_site_label
_atom_site_fract_x
_atom_site_fract_y
_atom_site_fract_z
Rb1 0.000 0.000 0.000
Ba1 0.500 0.500 0.500
S1 0.000 0.500 0.000
Cl1 0.000 0.000 0.500
# energy relative to the lowest polymorph listed for this composition: 1.75 eV/f.u.
# formation energy without anion corrections: -0.596 eV per atom
# DOS at the Fermi energy: 0.59 states/eV per atom
# total magnetic moment: 0.489 μB per cell

---

[4]
# Zr3TiZn4 PBE relaxed
data_Zr3TiZn4
_symmetry_space_group_name_H-M 'P 4/m m m'
_symmetry_Int_Tables_number 123
_symmetry_space_group_name_Hall '-P 4 2'
_cell_length_a 3.284
_cell_length_b 3.284
_cell_length_c 13.255
_cell_angle_alpha 90.00
_cell_angle_beta 90.00
_cell_angle_gamma 90.00
loop_
_atom_site_label
_atom_site_fract_x
_atom_site_fract_y
_atom_site_fract_z
Zr1 0.000 0.000 0.000
Zr2 0.000 0.000 0.258
Ti1 0.000 0.000 0.500
Zn1 0.500 0.500 0.129
Zn2 0.500 0.500 0.391
# DOS at the Fermi energy: 0.23 states/eV per atom
# DFT formation energy: -0.252 eV per atom
# total magnetic moment: 0.000 μB per cell

---

[5]
# CaPrGa PBE relaxed
data_CaPrGa
_symmetry_space_group_name_H-M 'P 63/m m c'
_symmetry_Int_Tables_number 194
_symmetry_space_group_name_Hall '-P 6c 2c'
_cell_length_a 5.3345
_cell_length_b 5.3345
_cell_length_c 6.8397
_cell_angle_alpha 90.00
_cell_angle_beta 90.00
_cell_angle_gamma 120.00
loop_
_atom_site_label
_atom_site_fract_x
_atom_site_fract_y
_atom_site_fract_z
Ca1 0.0000 0.0000 0.0000
Pr1 0.3333 0.6667 0.2500
Ga1 0.3333 0.6667 0.7500
# energy relative to the lowest polymorph listed for this composition: 0.00 eV/f.u.
# DOS at the Fermi energy: 0.34 states/eV per atom
# DFT formation energy: -0.431 eV per atom
# total magnetic moment: 0.000 μB per cell

---

[6]
# Ho2Ga6Co9 PBE relaxed
data_Ho2Ga6Co9
_symmetry_space_group_name_H-M 'P 6/m m m'
_symmetry_Int_Tables_number 191
_symmetry_space_group_name_Hall '-P 6 2'
_cell_length_a 5.1015
_cell_length_b 5.1015
_cell_length_c 11.6561
_cell_angle_alpha 90.00
_cell_angle_beta 90.00
_cell_angle_gamma 120.00
loop_
_atom_site_label
_atom_site_fract_x
_atom_site_fract_y
_atom_site_fract_z
Ho1 0.0000 0.0000 0.1679
Ga1 0.3333 0.6667 0.1635
Ga2 0.3333 0.6667 0.5000
Co1 0.0000 0.5000 0.0000
Co2 0.0000 0.5000 0.3303
# DOS at the Fermi energy: 1.37 states/eV per atom
# DFT formation energy: -0.148 eV per atom
# total magnetic moment: 7.404 μB per cell